A relaxed ScUCS crystal, computed with PBE.

```
ScUCS
1.0
3.528 0.000 0.000
-1.764 3.055 0.000
0.000 0.000 18.474
Sc U C S
3 3 3 3
direct
0.000 0.000 0.000 Sc
0.333 0.667 0.667 Sc
0.667 0.333 0.333 Sc
0.000 0.000 0.523 U
0.333 0.667 0.190 U
0.667 0.333 0.856 U
0.000 0.000 0.261 C
0.333 0.667 0.928 C
0.667 0.333 0.594 C
0.000 0.000 0.754 S
0.333 0.667 0.421 S
0.667 0.333 0.088 S
```

Calculated values
Total DFT energy (no corrections) in eV per atom: -8.765



A relaxed Tm6Si3Ge crystal, computed with PBE.

```
Tm6Si3Ge
1.0
6.644 0.000 0.000
0.000 7.769 0.000
-6.642 0.000 9.847
Tm Si Ge
12 6 2
direct
0.077 0.072 0.249 Tm
0.077 0.428 0.749 Tm
0.229 0.682 0.071 Tm
0.229 0.818 0.571 Tm
0.409 0.178 0.069 Tm
0.409 0.322 0.569 Tm
0.591 0.678 0.431 Tm
0.591 0.822 0.931 Tm
0.771 0.182 0.429 Tm
0.771 0.318 0.929 Tm
0.923 0.572 0.251 Tm
0.923 0.928 0.751 Tm
0.000 0.000 0.000 Si
0.000 0.500 0.500 Si
0.303 0.108 0.750 Si
0.303 0.392 0.250 Si
0.697 0.608 0.750 Si
0.697 0.892 0.250 Si
0.500 0.000 0.500 Ge
0.500 0.500 0.000 Ge
```

Calculated values
Total DFT energy (no corrections) in eV per atom: -5.305



A relaxed CdInSCl2 crystal, computed with PBE.

```
CdInSCl2
1.0
5.240 0.000 0.000
0.000 5.240 0.000
0.000 0.000 5.168
Cd In S Cl
1 1 1 2
direct
0.000 0.000 0.000 Cd
0.500 0.500 0.500 In
0.000 0.000 0.500 S
0.000 0.500 0.000 Cl
0.500 0.000 0.000 Cl
```

Calculated values
ΔE to the lowest computed polymorph in meV per atom: 0.0
Total DFT energy (no corrections) in eV per atom: -2.707



A relaxed Sr3CoRu crystal, computed with PBE.

```
Sr3CoRu
1.0
5.447 0.000 0.000
0.000 5.447 0.000
0.000 0.000 5.447
Sr Co Ru
3 1 1
direct
0.000 0.000 0.500 Sr
0.000 0.500 0.000 Sr
0.500 0.000 0.000 Sr
0.000 0.000 0.000 Co
0.500 0.500 0.500 Ru
```

Calculated values
E_form in eV/atom: 0.918
Total DFT energy (no corrections) in eV per atom: -3.368



A relaxed Ag3PbCl8 crystal, computed with PBE.

```
Ag3PbCl8
1.0
7.029 -3.863 0.000
7.029 3.863 0.000
-2.804 0.000 6.344
Ag Pb Cl
3 1 8
direct
0.000 0.000 0.000 Ag
0.000 0.500 0.500 Ag
0.500 0.000 0.500 Ag
0.500 0.500 0.000 Pb
0.209 0.786 0.738 Cl
0.214 0.791 0.262 Cl
0.256 0.256 0.273 Cl
0.268 0.268 0.760 Cl
0.732 0.732 0.240 Cl
0.744 0.744 0.727 Cl
0.786 0.209 0.738 Cl
0.791 0.214 0.262 Cl
```

Calculated values
Total DFT energy (no corrections) in eV per atom: -2.757



A relaxed Tm6Cu2Os crystal, computed with PBE.

```
Tm6Cu2Os
1.0
-4.662 4.718 4.732
4.662 -4.718 4.732
4.662 4.718 -4.732
Tm Cu Os
12 4 2
direct
0.069 0.244 0.825 Tm
0.215 0.544 0.330 Tm
0.215 0.885 0.670 Tm
0.314 0.241 0.555 Tm
0.314 0.759 0.072 Tm
0.419 0.244 0.175 Tm
0.581 0.756 0.825 Tm
0.686 0.241 0.928 Tm
0.686 0.759 0.445 Tm
0.785 0.115 0.330 Tm
0.785 0.456 0.670 Tm
0.931 0.756 0.175 Tm
0.000 0.125 0.125 Cu
0.000 0.875 0.875 Cu
0.145 0.500 0.645 Cu
0.855 0.500 0.355 Cu
0.500 0.000 0.500 Os
0.500 0.500 0.000 Os
```

Calculated values
E_form in eV/atom: -0.223
Total DFT energy (no corrections) in eV per atom: -5.362



A relaxed GdTmMgGa crystal, computed with PBE.

```
GdTmMgGa
1.0
7.298 0.000 0.000
0.000 7.298 0.000
0.000 0.000 7.298
Gd Tm Mg Ga
4 4 4 4
direct
0.000 0.000 0.000 Gd
0.000 0.500 0.500 Gd
0.500 0.000 0.500 Gd
0.500 0.500 0.000 Gd
0.000 0.000 0.500 Tm
0.000 0.500 0.000 Tm
0.500 0.000 0.000 Tm
0.500 0.500 0.500 Tm
0.250 0.250 0.250 Mg
0.250 0.750 0.750 Mg
0.750 0.250 0.750 Mg
0.750 0.750 0.250 Mg
0.250 0.250 0.750 Ga
0.250 0.750 0.250 Ga
0.750 0.250 0.250 Ga
0.750 0.750 0.750 Ga
```

Calculated values
E_form in eV/atom: -0.330
Total DFT energy (no corrections) in eV per atom: -6.124



A relaxed Tb6Pm3Y2Pu crystal, computed with PBE.

```
Tb6Pm3Y2Pu
1.0
3.095 -5.363 0.000
3.095 5.363 0.000
-2.072 0.000 11.621
Tb Pm Y Pu
6 3 2 1
direct
0.082 0.411 0.246 Tb
0.247 0.247 0.754 Tb
0.411 0.082 0.246 Tb
0.589 0.918 0.754 Tb
0.753 0.753 0.246 Tb
0.918 0.589 0.754 Tb
0.167 0.833 0.500 Pm
0.500 0.500 0.500 Pm
0.833 0.167 0.500 Pm
0.333 0.667 0.000 Y
0.667 0.333 0.000 Y
0.000 0.000 0.000 Pu
```

Calculated values
E_form in eV/atom: 0.047
Total DFT energy (no corrections) in eV per atom: -5.728



A relaxed ScTcAu2 crystal, computed with PBE.

```
ScTcAu2
1.0
3.008 0.000 0.000
0.000 3.008 0.000
0.000 0.000 7.846
Sc Tc Au
1 1 2
direct
0.000 0.000 0.000 Sc
0.000 0.000 0.500 Tc
0.500 0.500 0.254 Au
0.500 0.500 0.746 Au
```

Calculated values
E_form in eV/atom: -0.030
ΔE to the lowest computed polymorph in meV per atom: 206.4
Total DFT energy (no corrections) in eV per atom: -5.843



A relaxed PrHgSe2 crystal, computed with PBE.

```
PrHgSe2
1.0
4.106 0.000 0.000
-2.053 3.556 0.000
0.000 0.000 26.452
Pr Hg Se
3 3 6
direct
0.000 0.000 0.000 Pr
0.333 0.667 0.667 Pr
0.667 0.333 0.333 Pr
0.000 0.000 0.500 Hg
0.333 0.667 0.167 Hg
0.667 0.333 0.833 Hg
0.000 0.000 0.107 Se
0.000 0.000 0.893 Se
0.333 0.667 0.559 Se
0.333 0.667 0.774 Se
0.667 0.333 0.226 Se
0.667 0.333 0.441 Se
```

Calculated values
ΔE to the lowest computed polymorph in meV per atom: 812.4
Total DFT energy (no corrections) in eV per atom: -3.224



A relaxed NbSiOF2 crystal, computed with PBE.

```
NbSiOF2
1.0
4.328 0.000 0.000
0.000 4.328 0.000
0.000 0.000 3.981
Nb Si O F
1 1 1 2
direct
0.000 0.000 0.000 Nb
0.500 0.500 0.500 Si
0.000 0.000 0.500 O
0.000 0.500 0.000 F
0.500 0.000 0.000 F
```

Calculated values
ΔE to the lowest computed polymorph in meV per atom: 0.0
Total DFT energy (no corrections) in eV per atom: -6.110



A relaxed CaCrCuC2 crystal, computed with PBE.

```
CaCrCuC2
1.0
4.287 0.000 0.000
0.000 4.287 0.000
0.000 0.000 4.607
Ca Cr Cu C
1 1 1 2
direct
0.000 0.000 0.000 Ca
0.500 0.500 0.500 Cr
0.000 0.000 0.500 Cu
0.000 0.500 0.000 C
0.500 0.000 0.000 C
```

Calculated values
E_form in eV/atom: 3.076
Total DFT energy (no corrections) in eV per atom: -3.757



Computed theoretical density (Mg/m³) in order:
8.184, 7.648, 3.865, 4.346, 3.926, 10.617, 7.181, 7.791, 12.559, 6.443, 3.897, 3.523